Here is an optimized crystal structure of Zn2As2O7 from Alexandria via LeMat-Bulk. Energies are from GGA-PBE.

Properties
- Energy above the lowest structure with this stoichiometry: 0.0108 eV/atom
- Total moment: 0.00 μB/cell
- SG: C2/c (15)
- Total DFT energy (no corrections): -60.743 eV per formula unit
- E_form (uncorrected): -1.290 eV/atom

Unit cell a=5.624 b=5.624 c=9.870 alpha=102.66 beta=102.66 gamma=98.39
Atoms (fractional coordinates):
Zn (0.360, 0.724, 0.479)
O (0.080, 0.409, 0.113)
O (0.680, 0.998, 0.895)
O (0.402, 0.379, 0.365)
As (0.794, 0.803, 0.295)
As (0.206, 0.197, 0.705)
As (0.197, 0.206, 0.205)
O (0.409, 0.080, 0.613)
As (0.803, 0.794, 0.795)
O (0.379, 0.402, 0.865)
O (0.621, 0.598, 0.135)
O (0.591, 0.920, 0.387)
O (0.998, 0.680, 0.395)
Zn (0.640, 0.276, 0.521)
O (0.002, 0.320, 0.605)
O (0.075, 0.925, 0.750)
O (0.598, 0.621, 0.635)
Zn (0.276, 0.640, 0.021)
Zn (0.724, 0.360, 0.979)
O (0.920, 0.591, 0.887)
O (0.320, 0.002, 0.105)
O (0.925, 0.075, 0.250)


Here is an optimized crystal structure of Mn2FeRe from Alexandria via LeMat-Bulk. Energies are from GGA-PBE.

Properties
- Total moment: 1.59 μB/cell
- E_form: 0.71 eV/atom
- SG: Immm (71)
- Total DFT energy (no corrections): -36.395 eV per formula unit

Unit cell a=5.292 b=5.292 c=5.292 alpha=57.44 beta=152.05 gamma=130.91
Atoms (fractional coordinates):
Re (0.000, 0.500, 0.500)
Fe (0.000, 0.000, 0.000)
Mn (0.000, 0.766, 0.766)
Mn (0.000, 0.234, 0.234)


Here is an optimized crystal structure of CaLa2Se from Alexandria via LeMat-Bulk. Energies are from GGA-PBE.

Properties
- Total moment: 0.00 μB/cell
- SG: P2/m (10)
- Total DFT energy (no corrections): -18.303 eV per formula unit
- E_form (uncorrected): -0.741 eV/atom

Unit cell a=3.934 b=6.849 c=6.843 alpha=50.78 beta=90.00 gamma=90.00
Atoms (fractional coordinates):
Ca (0.500, 0.750, 0.750)
La (0.000, 0.429, 0.429)
La (0.000, 0.071, 0.071)
Se (0.500, 0.250, 0.250)


Here is an optimized crystal structure of Tm2SnRh from Alexandria via LeMat-Bulk. Energies are from GGA-PBE.

Properties
- Total moment: 0.00 μB/cell
- E_form: -0.80 eV/atom
- SG: P4/mmm (123)
- Total DFT energy (no corrections): -23.500 eV per formula unit

Unit cell a=3.411 b=3.411 c=7.793 alpha=90.00 beta=90.00 gamma=90.00
Atoms (fractional coordinates):
Sn (0.500, 0.500, 0.500)
Rh (0.500, 0.500, 0.000)
Tm (0.000, 0.000, 0.787)
Tm (0.000, 0.000, 0.213)